Record 1
{"formula": "Pr6Si2IrCl3", "functional": "PBE", "state": "relaxed", "total_energy_ev_per_atom": -5.64, "e_form_raw_ev_per_atom": -1.150, "lattice_angstrom": [[4.204, 0.000, 0.000], [0.000, 8.766, 0.329], [-2.102, -2.506, 9.011]], "species": ["Pr", "Pr", "Pr", "Pr", "Pr", "Pr", "Cl", "Cl", "Cl", "Ir", "Si", "Si"], "frac_coords": [[0.995, 0.772, 0.991], [0.656, 0.100, 0.312], [0.005, 0.228, 0.009], [0.327, 0.426, 0.654], [0.673, 0.574, 0.346], [0.344, 0.900, 0.688], [0.826, 0.161, 0.652], [0.500, 0.500, 0.000], [0.174, 0.839, 0.348], [0.500, 0.000, 0.000], [0.165, 0.340, 0.331], [0.835, 0.660, 0.669]]}

---

Record 2
{"formula": "Pr8Si3IrCl4", "functional": "PBE", "state": "relaxed", "total_energy_ev_per_atom": -5.57, "e_form_raw_ev_per_atom": -1.151, "lattice_angstrom": [[8.554, 0.000, 0.000], [0.000, 8.603, 0.029], [-4.277, -4.274, 6.050]], "species": ["Pr", "Pr", "Pr", "Pr", "Pr", "Pr", "Pr", "Pr", "Ir", "Cl", "Cl", "Cl", "Cl", "Si", "Si", "Si"], "frac_coords": [[0.236, 0.720, 0.473], [0.764, 0.280, 0.016], [0.764, 0.280, 0.527], [0.747, 0.720, 0.984], [0.743, 0.729, 0.486], [0.257, 0.271, 0.514], [0.236, 0.720, 0.984], [0.253, 0.280, 0.016], [0.000, 0.500, 0.000], [0.500, 0.000, 0.500], [0.000, 0.000, 0.000], [0.500, 0.000, 0.000], [0.000, 0.000, 0.500], [0.000, 0.500, 0.500], [0.500, 0.500, 0.000], [0.500, 0.500, 0.500]]}

---

Record 3
{"formula": "Pr6SiIr2Cl3", "functional": "PBE", "state": "relaxed", "total_energy_ev_per_atom": -5.94, "e_form_raw_ev_per_atom": -1.161, "lattice_angstrom": [[4.192, 0.000, 0.000], [0.000, 8.902, 0.053], [-2.096, -2.836, 9.184]], "species": ["Cl", "Cl", "Cl", "Pr", "Pr", "Pr", "Pr", "Pr", "Pr", "Ir", "Ir", "Si"], "frac_coords": [[0.158, 0.838, 0.316], [0.500, 0.500, 0.000], [0.842, 0.162, 0.684], [0.661, 0.117, 0.322], [0.676, 0.563, 0.352], [0.324, 0.437, 0.648], [0.985, 0.759, 0.970], [0.339, 0.883, 0.678], [0.015, 0.241, 0.030], [0.831, 0.662, 0.663], [0.169, 0.338, 0.337], [0.500, 0.000, 0.000]]}

---

Record 4
{"formula": "Pr8SiIr3Cl4", "functional": "PBE", "state": "relaxed", "total_energy_ev_per_atom": -5.99, "e_form_raw_ev_per_atom": -1.135, "lattice_angstrom": [[8.434, 0.000, 0.000], [0.000, 8.901, 0.326], [-4.217, -4.213, 5.963]], "species": ["Pr", "Pr", "Pr", "Pr", "Pr", "Pr", "Pr", "Pr", "Ir", "Ir", "Ir", "Cl", "Cl", "Cl", "Cl", "Si"], "frac_coords": [[0.241, 0.707, 0.482], [0.759, 0.292, 0.033], [0.274, 0.292, 0.033], [0.264, 0.292, 0.528], [0.736, 0.708, 0.472], [0.759, 0.293, 0.518], [0.241, 0.708, 0.967], [0.726, 0.708, 0.967], [0.500, 0.500, 0.500], [0.000, 0.500, 0.500], [0.500, 0.500, 0.000], [0.000, 0.000, 0.000], [0.500, 0.000, 0.000], [0.000, 0.000, 0.500], [0.500, 0.000, 0.500], [0.000, 0.500, 0.000]]}

---

Record 5
{"formula": "PrSmIrCl", "functional": "PBE", "state": "relaxed", "total_energy_ev_per_atom": -6.21, "e_form_raw_ev_per_atom": -1.159, "lattice_angstrom": [[4.115, 0.000, 0.000], [-2.057, 3.563, -0.001], [-2.057, -1.189, 7.679]], "species": ["Pr", "Ir", "Cl", "Sm"], "frac_coords": [[0.505, 0.150, 0.670], [0.307, 0.551, 0.874], [0.962, 0.380, 0.356], [0.104, 0.950, 0.069]]}

---

Record 6
{"formula": "Pr3SnIrCl", "functional": "PBE", "state": "relaxed", "total_energy_ev_per_atom": -5.70, "e_form_raw_ev_per_atom": -0.863, "lattice_angstrom": [[-1.594, -3.234, -2.921], [6.874, -0.070, -3.674], [0.146, -6.689, 7.324]], "species": ["Ir", "Ir", "Pr", "Pr", "Pr", "Pr", "Pr", "Pr", "Sn", "Sn", "Cl", "Cl"], "frac_coords": [[0.250, 0.721, 0.149], [0.750, 0.279, 0.851], [0.250, 0.532, 0.859], [0.750, 0.930, 0.116], [0.750, 0.286, 0.524], [0.250, 0.714, 0.476], [0.750, 0.468, 0.141], [0.250, 0.070, 0.884], [0.250, 0.264, 0.272], [0.750, 0.736, 0.728], [0.750, 0.875, 0.396], [0.250, 0.125, 0.604]]}

---

Record 7
{"formula": "TbPrIrCl", "functional": "PBE", "state": "relaxed", "total_energy_ev_per_atom": -6.19, "e_form_raw_ev_per_atom": -1.166, "lattice_angstrom": [[-0.758, -3.685, -1.586], [3.690, 1.690, -0.434], [1.537, -1.375, 7.708]], "species": ["Ir", "Cl", "Tb", "Pr"], "frac_coords": [[0.310, 0.553, 0.878], [0.962, 0.380, 0.355], [0.102, 0.949, 0.067], [0.504, 0.150, 0.670]]}

---

Record 8
{"formula": "Pr3TeIrCl", "functional": "PBE", "state": "relaxed", "total_energy_ev_per_atom": -5.81, "e_form_raw_ev_per_atom": -1.117, "lattice_angstrom": [[4.274, 0.000, 0.000], [0.000, 9.032, 0.740], [0.000, -1.645, 9.956]], "species": ["Pr", "Pr", "Pr", "Pr", "Pr", "Pr", "Ir", "Ir", "Te", "Te", "Cl", "Cl"], "frac_coords": [[0.250, 0.598, 0.855], [0.750, 0.402, 0.145], [0.750, 0.334, 0.578], [0.250, 0.666, 0.422], [0.750, 0.846, 0.139], [0.250, 0.154, 0.861], [0.750, 0.374, 0.853], [0.250, 0.626, 0.147], [0.750, 0.876, 0.820], [0.250, 0.124, 0.180], [0.750, 0.869, 0.430], [0.250, 0.131, 0.570]]}